A relaxed AcYTl crystal, computed with GGA-PBE.

Unit cell a=5.3844 b=5.3844 c=4.1876 alpha=90.00 beta=90.00 gamma=120.00
Positions (direct):
1 Ac 0.0000 0.0000 0.0000
2 Y 0.6667 0.3333 0.5008
3 Tl 0.3333 0.6667 0.4975

Properties
* calculated total energy: -13.422 eV per cell
* space group: P3m1 (156)
* DOS at the Fermi energy: 4.324 states/eV per cell
* DFT formation energy: -0.161 eV per atom